# 1
A plane-wave DFT calculation with GGA-PBE was carried out for crystalline Na2PdBr5 at its relaxed geometry.

Cell: 7.478 7.478 12.907 Å, 90.00 90.00 135.59°
Sites, in units of the cell vectors:
Na 0.167 0.833 0.578
Na 0.167 0.833 0.922
Na 0.833 0.167 0.078
Na 0.833 0.167 0.422
Pd 0.182 0.818 0.250
Pd 0.818 0.182 0.750
Br 0.054 0.946 0.115
Br 0.054 0.946 0.385
Br 0.310 0.690 0.111
Br 0.310 0.690 0.389
Br 0.312 0.688 0.750
Br 0.688 0.312 0.250
Br 0.690 0.310 0.611
Br 0.690 0.310 0.889
Br 0.946 0.054 0.615
Br 0.946 0.054 0.885

The final energy comes out at -2.914 eV per atom. The excess energy over the best structure of this formula in the dataset comes out at 0 meV/atom. As for the space group: Cmcm (63). Its calculated volume is 31.57 Å³ per atom.

# 2
A plane-wave DFT calculation with GGA-PBE was carried out for crystalline NaPd2Br at its relaxed geometry.

Cell: 4.713 4.713 4.713 Å, 60.00 60.00 60.00°
Sites, in units of the cell vectors:
Na 0.000 0.000 0.000
Pd 0.250 0.250 0.250
Pd 0.750 0.750 0.750
Br 0.500 0.500 0.500

The final energy comes out at -3.234 eV per atom. The excess energy over the best structure of this formula in the dataset comes out at 221 meV/atom. As for the space group: Fm-3m (225). Its calculated volume is 18.51 Å³ per atom.

# 3
A plane-wave DFT calculation with GGA-PBE was carried out for crystalline NaPdBr at its relaxed geometry.

Cell: 5.272 5.272 5.642 Å, 90.00 90.00 90.00°
Sites, in units of the cell vectors:
Na 0.250 0.250 0.157
Na 0.750 0.750 0.843
Pd 0.250 0.250 0.651
Pd 0.750 0.750 0.349
Br 0.250 0.750 0.500
Br 0.750 0.250 0.500

The final energy comes out at -2.945 eV per atom. The excess energy over the best structure of this formula in the dataset comes out at 395 meV/atom. As for the space group: P4/nmm (129). Its calculated volume is 26.13 Å³ per atom.

# 4
A plane-wave DFT calculation with GGA-PBE was carried out for crystalline Na3PdBr6 at its relaxed geometry.

Cell: 8.411 8.411 8.411 Å, 89.96 89.96 89.96°
Sites, in units of the cell vectors:
Na 0.107 0.569 0.216
Na 0.216 0.107 0.569
Na 0.431 0.784 0.893
Na 0.569 0.216 0.107
Na 0.784 0.893 0.431
Na 0.893 0.431 0.784
Pd 0.000 0.000 0.000
Pd 0.500 0.500 0.500
Br 0.080 0.716 0.901
Br 0.099 0.920 0.284
Br 0.196 0.462 0.532
Br 0.284 0.099 0.920
Br 0.462 0.532 0.196
Br 0.468 0.804 0.538
Br 0.532 0.196 0.462
Br 0.538 0.468 0.804
Br 0.716 0.901 0.080
Br 0.804 0.538 0.468
Br 0.901 0.080 0.716
Br 0.920 0.284 0.099

The final energy comes out at -2.909 eV per atom. As for the space group: R-3 (148). Its calculated volume is 29.75 Å³ per atom.

For each record above, in turn, the calculated DOS(E_F) values are 2.062 3.452 4.108 10.094 states/eV/cell.